Below is an optimized crystal structure of KMn2, with properties calculated at the PBE level.

- symmetry = P4/mmm, No. 123
- crystal system = tetragonal
- VASP energy (eV per atom) = -4.653
- calculated formation energy (eV per formula unit) = 5.478

a = 6.307 Å, b = 6.307 Å, c = 2.962 Å
α = 90.00°, β = 90.00°, γ = 90.00°
Site moments in Bohr magnetons follow the coordinates.
Fractional positions:
K 0.000 0.000 0.000  -0.02
Mn 0.000 0.500 0.500  4.16
Mn 0.500 0.000 0.500  4.16